LiTa2Au: optimized geometry, PBE.

Geometry as POSCAR:
```
LiTa2Au
1.0
0.000 3.244 3.244
3.244 0.000 3.244
3.244 3.244 0.000
Ta Li Au
2 1 1
Cartesian
1.622 1.622 1.622
4.866 4.866 4.866
0.000 0.000 0.000
3.244 3.244 3.244
```

## Properties
M_tot in μB per formula unit: 0.0
Distance to the lowest polymorph of the same formula in meV per atom: 437
Energy of formation in eV/atom: 0.437
E_tot in eV per atom: -6.7870
Symmetry: Fm-3m